Below is LiNd2RhO5 after structural relaxation, with properties calculated at the PBE-GGA level.

Lattice parameters (Å, degrees): 6.812 6.812 5.788 90.00 90.00 90.00
Space group P4/mbm (No. 127)
One atom of each set of equivalent atoms:
Li 0.000 0.000 0.000 (multiplicity 2)
Nd 0.177 0.323 0.500 (multiplicity 4)
Rh 0.000 0.500 0.000 (multiplicity 2)
O 0.000 0.000 0.500 (multiplicity 2)
O 0.136 0.636 0.250 (multiplicity 8)

* energy relative to the elements, uncorrected: -2147 meV per atom
* total magnetization: 4.0 μB per cell